No. 1
This record from Alexandria via LeMat-Bulk describes a relaxed structure of PuCo2SnO8. The functional is PBE+U.

Structure (POSCAR):
```
PuCo2SnO8
1.0
5.787 0.370 0.000
-2.235 5.351 0.000
-1.776 -2.861 4.721
Pu Co Sn O
1 2 1 8
Direct
0.250 0.750 0.500 Pu
0.750 0.250 0.500 Co
0.500 0.500 0.000 Co
0.000 0.000 0.000 Sn
0.371 0.063 0.308 O
0.290 0.487 0.197 O
0.290 0.093 0.803 O
0.755 0.063 0.692 O
0.907 0.710 0.197 O
0.937 0.245 0.308 O
0.937 0.629 0.692 O
0.513 0.710 0.803 O
```

Calculated values
DOS(E_F) = 4.90 states/eV per cell
VASP energy = -85.12 eV for the cell shown


No. 2
This record from Alexandria via LeMat-Bulk describes a relaxed structure of Sr2PuCo3O12. The functional is PBE+U.

Structure (POSCAR):
```
Sr2PuCo3O12
1.0
7.118 0.266 0.188
3.746 6.058 0.188
3.746 2.181 5.655
Sr Pu Co O
2 1 3 12
Direct
0.601 0.601 0.601 Sr
0.399 0.399 0.399 Sr
0.000 0.000 0.000 Pu
0.500 0.000 0.000 Co
0.000 0.500 0.000 Co
0.000 0.000 0.500 Co
0.327 0.327 0.910 O
0.919 0.919 0.347 O
0.347 0.919 0.919 O
0.910 0.327 0.327 O
0.919 0.347 0.919 O
0.327 0.910 0.327 O
0.673 0.673 0.090 O
0.081 0.081 0.653 O
0.653 0.081 0.081 O
0.090 0.673 0.673 O
0.081 0.653 0.081 O
0.673 0.090 0.673 O
```

Calculated values
DOS(E_F) = 5.31 states/eV per cell
VASP energy = -118.75 eV for the cell shown


No. 3
This record from Alexandria via LeMat-Bulk describes a relaxed structure of SrPu2CoO8. The functional is PBE+U.

Structure (POSCAR):
```
SrPu2CoO8
1.0
4.992 0.123 -0.003
0.187 4.985 -0.006
0.005 0.008 6.941
Sr Pu Co O
1 2 1 8
Direct
0.000 0.000 0.500 Sr
0.500 0.500 0.760 Pu
0.500 0.500 0.240 Pu
0.000 0.000 0.000 Co
0.216 0.784 0.219 O
0.690 0.691 0.000 O
0.784 0.216 0.219 O
0.784 0.216 0.781 O
0.310 0.309 0.000 O
0.216 0.784 0.781 O
0.668 0.669 0.500 O
0.332 0.331 0.500 O
```

Calculated values
DOS(E_F) = 2.86 states/eV per cell
VASP energy = -103.36 eV for the cell shown


No. 4
This record from Alexandria via LeMat-Bulk describes a relaxed structure of TbPuCoO6. The functional is PBE+U.

Structure (POSCAR):
```
TbPuCoO6
1.0
-5.145 0.389 0.128
2.396 -1.095 -4.439
-0.694 -9.851 2.055
Tb Pu Co O
2 2 2 12
Direct
0.000 0.000 0.000 Tb
0.000 0.000 0.500 Tb
0.667 0.333 0.250 Pu
0.333 0.667 0.750 Pu
0.333 0.667 0.250 Co
0.667 0.333 0.750 Co
0.636 0.656 0.140 O
0.020 0.364 0.140 O
0.364 0.020 0.640 O
0.980 0.636 0.860 O
0.344 0.364 0.360 O
0.020 0.656 0.360 O
0.656 0.020 0.860 O
0.636 0.980 0.360 O
0.980 0.344 0.640 O
0.344 0.980 0.140 O
0.656 0.636 0.640 O
0.364 0.344 0.860 O
```

Calculated values
DOS(E_F) = 14.66 states/eV per cell
VASP energy = -149.92 eV for the cell shown


No. 5
This record from Alexandria via LeMat-Bulk describes a relaxed structure of TbPuCo2O8. The functional is PBE+U.

Structure (POSCAR):
```
TbPuCo2O8
1.0
-4.577 -0.335 -3.676
2.031 -5.356 1.326
-1.748 2.636 4.957
Tb Pu Co O
1 1 2 8
Direct
0.000 0.000 0.000 Tb
0.250 0.750 0.500 Pu
0.750 0.250 0.500 Co
0.500 0.500 0.000 Co
0.389 0.063 0.326 O
0.299 0.503 0.204 O
0.299 0.095 0.796 O
0.738 0.063 0.674 O
0.905 0.701 0.204 O
0.937 0.262 0.326 O
0.937 0.611 0.674 O
0.497 0.701 0.796 O
```

Calculated values
DOS(E_F) = 5.37 states/eV per cell
VASP energy = -90.61 eV for the cell shown


No. 6
This record from Alexandria via LeMat-Bulk describes a relaxed structure of PuCoTcO6. The functional is PBE+U.

Structure (POSCAR):
```
PuCoTcO6
1.0
-1.568 -3.855 -3.105
0.695 -0.871 5.071
-8.604 2.241 1.564
Pu Co Tc O
2 2 2 12
Direct
0.667 0.333 0.250 Pu
0.333 0.667 0.750 Pu
0.333 0.667 0.250 Co
0.667 0.333 0.750 Co
0.000 0.000 0.000 Tc
0.000 0.000 0.500 Tc
0.680 0.687 0.124 O
0.008 0.320 0.124 O
0.320 0.008 0.624 O
0.992 0.680 0.876 O
0.313 0.320 0.376 O
0.008 0.687 0.376 O
0.687 0.008 0.876 O
0.680 0.992 0.376 O
0.992 0.313 0.624 O
0.313 0.992 0.124 O
0.687 0.680 0.624 O
0.320 0.313 0.876 O
```

Calculated values
DOS(E_F) = 10.82 states/eV per cell
VASP energy = -151.15 eV for the cell shown


Number 1: mass density 6.73 Mg/m³. Number 2: mass density 5.62 Mg/m³. Number 3: mass density 7.34 Mg/m³. Number 4: mass density 7.96 Mg/m³. Number 5: mass density 6.89 Mg/m³. Number 6: mass density 7.83 Mg/m³.